# 1
{"formula": "Li2Ho", "functional": "PBE", "state": "relaxed", "cell": [[1.7875, -7.4296, 0.0000], [1.7875, 7.4296, 0.0000], [0.0000, 0.0000, 4.9354]], "species": ["Li", "Li", "Ho", "Li", "Li", "Ho"], "fractional_positions": [[0.8975, 0.1025, 0.7500], [0.7402, 0.2598, 0.2500], [0.5754, 0.4246, 0.7500], [0.1025, 0.8975, 0.2500], [0.2598, 0.7402, 0.7500], [0.4246, 0.5754, 0.2500]], "relative_energy_ev_per_atom": 0.037, "final_energy_ev_per_cell": -15.81, "space_group": "No. 63"}

=====

# 2
{"formula": "Li2Ho", "functional": "PBE", "state": "relaxed", "cell": [[4.9206, 0.0000, 0.0000], [-2.4603, 4.2614, 0.0000], [0.0000, 0.0000, 3.2514]], "species": ["Li", "Ho", "Li"], "fractional_positions": [[0.6667, 0.3333, 0.5000], [0.0000, 0.0000, 0.0000], [0.3333, 0.6667, 0.5000]], "relative_energy_ev_per_atom": 0.060, "final_energy_ev_per_cell": -7.84, "space_group": "No. 191"}

=====

# 3
{"formula": "LiHoLu", "functional": "PBE", "state": "relaxed", "cell": [[-3.6199, -2.8166, -1.9249], [-4.7272, 1.5318, 0.2214], [-2.3417, 1.4484, -4.1426]], "species": ["Lu", "Li", "Ho"], "fractional_positions": [[0.7500, 0.7500, 0.7500], [0.0000, 0.0000, 0.0000], [0.2500, 0.2500, 0.2500]], "relative_energy_ev_per_atom": 0.000, "final_energy_ev_per_cell": -9.45, "space_group": "No. 216"}

=====

# 4
{"formula": "LiHoMg", "functional": "PBE", "state": "relaxed", "cell": [[0.0000, 3.4091, 3.4091], [3.4091, 0.0000, 3.4091], [3.4091, 3.4091, 0.0000]], "species": ["Mg", "Ho", "Li"], "fractional_positions": [[0.7500, 0.7500, 0.7500], [0.2500, 0.2500, 0.2500], [0.0000, 0.0000, 0.0000]], "relative_energy_ev_per_atom": 0.000, "final_energy_ev_per_cell": -6.93, "space_group": "No. 216"}